1.
{"formula": "ZnHg2Br", "functional": "PBE", "state": "optimized geometry", "lattice_angstrom": [[-2.645, 2.645, 3.784], [2.645, -2.645, 3.784], [2.645, 2.645, -3.784]], "species": ["Zn", "Hg", "Hg", "Br"], "fractional_positions": [[0.000, 0.000, 0.000], [0.500, 0.500, 0.000], [0.750, 0.250, 0.500], [0.250, 0.750, 0.500]], "magnetic_moment_mub_per_cell": 0.0, "energy_ev_per_cell": -3.18, "dos_ef_per_ev_cell": 4.2, "relative_energy_ev_per_fu": 1.11, "formation_energy_uncorrected_mev_per_atom": 94, "spacegroup": "No. 119"}

---

2.
{"formula": "PmNbRh", "functional": "PBE", "state": "optimized geometry", "lattice_angstrom": [[3.365, 0.000, 0.000], [0.000, 3.990, 0.000], [0.000, 0.000, 5.271]], "species": ["Pm", "Nb", "Rh"], "fractional_positions": [[0.000, 0.000, 0.000], [0.000, 0.500, 0.500], [0.500, 0.000, 0.500]], "magnetic_moment_mub_per_cell": 0.0, "energy_ev_per_cell": -22.15, "dos_ef_per_ev_cell": 4.0, "spacegroup": "No. 47"}

---

3.
{"formula": "MgTc2Ir", "functional": "PBE", "state": "optimized geometry", "lattice_angstrom": [[0.000, 3.097, 3.097], [3.097, 0.000, 3.097], [3.097, 3.097, 0.000]], "species": ["Mg", "Tc", "Tc", "Ir"], "fractional_positions": [[0.000, 0.000, 0.000], [0.500, 0.500, 0.500], [0.750, 0.750, 0.750], [0.250, 0.250, 0.250]], "magnetic_moment_mub_per_cell": 0.0, "energy_ev_per_cell": -30.95, "dos_ef_per_ev_cell": 3.0, "spacegroup": "No. 216"}

---

4.
{"formula": "KBa2RuO4", "functional": "PBE", "state": "optimized geometry", "lattice_angstrom": [[1.987, -6.921, 0.000], [1.987, 6.921, 0.000], [0.000, 0.000, 13.024]], "species": ["K", "K", "Ba", "Ba", "Ba", "Ba", "Ru", "Ru", "O", "O", "O", "O", "O", "O", "O", "O"], "fractional_positions": [[0.078, 0.922, 0.750], [0.922, 0.078, 0.250], [0.371, 0.629, 0.547], [0.371, 0.629, 0.953], [0.629, 0.371, 0.047], [0.629, 0.371, 0.453], [0.233, 0.767, 0.250], [0.767, 0.233, 0.750], [0.000, 0.000, 0.000], [0.000, 0.000, 0.500], [0.249, 0.751, 0.104], [0.249, 0.751, 0.396], [0.276, 0.724, 0.750], [0.724, 0.276, 0.250], [0.751, 0.249, 0.604], [0.751, 0.249, 0.896]], "magnetic_moment_mub_per_cell": 4.3, "energy_ev_per_cell": -95.12, "dos_ef_per_ev_cell": 4.1, "formation_energy_uncorrected_mev_per_atom": -1688, "spacegroup": "No. 63"}

---

5.
{"formula": "Sc6Al3Tc", "functional": "PBE", "state": "optimized geometry", "lattice_angstrom": [[8.324, 0.000, 0.000], [0.000, 4.813, 0.000], [-3.533, 0.000, 9.998]], "species": ["Sc", "Sc", "Sc", "Sc", "Sc", "Sc", "Sc", "Sc", "Sc", "Sc", "Sc", "Sc", "Al", "Al", "Al", "Al", "Al", "Al", "Tc", "Tc"], "fractional_positions": [[0.034, 0.250, 0.415], [0.169, 0.750, 0.169], [0.272, 0.250, 0.009], [0.356, 0.750, 0.817], [0.363, 0.250, 0.335], [0.400, 0.250, 0.631], [0.600, 0.750, 0.369], [0.637, 0.750, 0.665], [0.644, 0.250, 0.183], [0.728, 0.750, 0.991], [0.831, 0.250, 0.831], [0.966, 0.750, 0.585], [0.037, 0.750, 0.880], [0.117, 0.250, 0.723], [0.268, 0.750, 0.471], [0.732, 0.250, 0.529], [0.883, 0.750, 0.277], [0.963, 0.250, 0.120], [0.457, 0.750, 0.100], [0.543, 0.250, 0.900]], "magnetic_moment_mub_per_cell": 0.0, "energy_ev_per_cell": -126.18, "dos_ef_per_ev_cell": 17.3, "spacegroup": "No. 11"}

---

6.
{"formula": "PaCoSnRu", "functional": "PBE", "state": "optimized geometry", "lattice_angstrom": [[0.000, 3.318, 3.318], [3.318, 0.000, 3.318], [3.318, 3.318, 0.000]], "species": ["Pa", "Co", "Sn", "Ru"], "fractional_positions": [[0.000, 0.000, 0.000], [0.250, 0.250, 0.250], [0.500, 0.500, 0.500], [0.750, 0.750, 0.750]], "magnetic_moment_mub_per_cell": 1.4, "energy_ev_per_cell": -30.89, "dos_ef_per_ev_cell": 5.4, "spacegroup": "No. 216"}

---

7.
{"formula": "KNb2Ag", "functional": "PBE", "state": "optimized geometry", "lattice_angstrom": [[-2.175, 2.175, 11.163], [2.175, -2.175, 11.163], [2.175, 2.175, -11.163]], "species": ["K", "K", "Nb", "Nb", "Nb", "Nb", "Ag", "Ag"], "fractional_positions": [[0.000, 0.000, 0.000], [0.750, 0.250, 0.500], [0.255, 0.625, 0.130], [0.375, 0.505, 0.630], [0.495, 0.125, 0.870], [0.875, 0.745, 0.370], [0.250, 0.750, 0.500], [0.500, 0.500, 0.000]], "magnetic_moment_mub_per_cell": 0.0, "energy_ev_per_cell": -38.39, "dos_ef_per_ev_cell": 8.6, "relative_energy_ev_per_fu": 0.00, "spacegroup": "No. 122"}

---

8.
{"formula": "Y3HgO", "functional": "PBE", "state": "optimized geometry", "lattice_angstrom": [[3.257, -5.822, 0.000], [3.257, 5.822, 0.000], [-1.791, 0.000, 6.308]], "species": ["Y", "Y", "Y", "Y", "Y", "Y", "Hg", "Hg", "O", "O"], "fractional_positions": [[0.000, 0.000, 0.000], [0.025, 0.454, 0.755], [0.454, 0.025, 0.755], [0.500, 0.500, 0.500], [0.546, 0.975, 0.245], [0.975, 0.546, 0.245], [0.000, 0.000, 0.500], [0.500, 0.500, 0.000], [0.195, 0.805, 0.000], [0.805, 0.195, 0.000]], "magnetic_moment_mub_per_cell": 0.0, "energy_ev_per_cell": -62.75, "dos_ef_per_ev_cell": 6.9, "relative_energy_ev_per_fu": 0.28, "formation_energy_uncorrected_mev_per_atom": -1345, "spacegroup": "No. 12"}

---

9.
{"formula": "Ni2Te2I", "functional": "PBE", "state": "optimized geometry", "lattice_angstrom": [[6.727, -1.906, 0.000], [6.727, 1.906, 0.000], [-2.007, 0.000, 4.804]], "species": ["Ni", "Ni", "Te", "Te", "I"], "fractional_positions": [[0.167, 0.167, 0.167], [0.833, 0.833, 0.833], [0.198, 0.198, 0.698], [0.802, 0.802, 0.302], [0.500, 0.500, 0.000]], "magnetic_moment_mub_per_cell": 0.0, "energy_ev_per_cell": -19.87, "dos_ef_per_ev_cell": 2.9, "formation_energy_uncorrected_mev_per_atom": -95, "spacegroup": "No. 12"}

---

10.
{"formula": "Li3Y2ZnCu12", "functional": "PBE", "state": "optimized geometry", "lattice_angstrom": [[4.328, 2.499, 4.161], [-4.328, 2.499, 4.161], [0.000, -4.997, 4.161]], "species": ["Li", "Li", "Li", "Y", "Y", "Zn", "Cu", "Cu", "Cu", "Cu", "Cu", "Cu", "Cu", "Cu", "Cu", "Cu", "Cu", "Cu"], "fractional_positions": [[0.000, 0.500, 0.500], [0.500, 0.000, 0.500], [0.500, 0.500, 0.000], [0.215, 0.215, 0.215], [0.785, 0.785, 0.785], [0.500, 0.500, 0.500], [0.076, 0.076, 0.647], [0.076, 0.647, 0.076], [0.229, 0.701, 0.701], [0.299, 0.299, 0.771], [0.299, 0.771, 0.299], [0.353, 0.924, 0.924], [0.647, 0.076, 0.076], [0.701, 0.229, 0.701], [0.701, 0.701, 0.229], [0.771, 0.299, 0.299], [0.924, 0.353, 0.924], [0.924, 0.924, 0.353]], "magnetic_moment_mub_per_cell": 0.0, "energy_ev_per_cell": -68.70, "dos_ef_per_ev_cell": 8.3, "spacegroup": "No. 166"}

---

11.
{"formula": "Er7CuS5", "functional": "PBE", "state": "optimized geometry", "lattice_angstrom": [[3.846, 0.000, 0.000], [0.000, 23.176, 0.000], [-1.914, 0.000, 6.332]], "species": ["Er", "Er", "Er", "Er", "Er", "Er", "Er", "Er", "Er", "Er", "Er", "Er", "Er", "Er", "Cu", "Cu", "S", "S", "S", "S", "S", "S", "S", "S", "S", "S"], "fractional_positions": [[0.038, 0.250, 0.073], [0.137, 0.537, 0.275], [0.137, 0.963, 0.275], [0.313, 0.177, 0.623], [0.313, 0.323, 0.623], [0.410, 0.610, 0.822], [0.410, 0.890, 0.822], [0.590, 0.110, 0.178], [0.590, 0.390, 0.178], [0.687, 0.677, 0.377], [0.687, 0.823, 0.377], [0.863, 0.037, 0.725], [0.863, 0.463, 0.725], [0.962, 0.750, 0.927], [0.296, 0.750, 0.596], [0.704, 0.250, 0.404], [0.048, 0.642, 0.098], [0.048, 0.858, 0.098], [0.226, 0.071, 0.450], [0.226, 0.429, 0.450], [0.500, 0.000, 0.000], [0.500, 0.500, 0.000], [0.774, 0.571, 0.550], [0.774, 0.929, 0.550], [0.952, 0.142, 0.902], [0.952, 0.358, 0.902]], "magnetic_moment_mub_per_cell": 0.0, "energy_ev_per_cell": -153.89, "dos_ef_per_ev_cell": 14.7, "formation_energy_uncorrected_mev_per_atom": -1559, "spacegroup": "No. 11"}

---

12.
{"formula": "Er2TmCo9", "functional": "PBE", "state": "optimized geometry", "lattice_angstrom": [[2.473, 1.428, 8.081], [-2.473, 1.428, 8.081], [0.000, -2.856, 8.081]], "species": ["Er", "Er", "Tm", "Co", "Co", "Co", "Co", "Co", "Co", "Co", "Co", "Co"], "fractional_positions": [[0.140, 0.140, 0.140], [0.860, 0.860, 0.860], [0.000, 0.000, 0.000], [0.078, 0.583, 0.583], [0.335, 0.335, 0.335], [0.417, 0.417, 0.922], [0.417, 0.922, 0.417], [0.500, 0.500, 0.500], [0.583, 0.078, 0.583], [0.583, 0.583, 0.078], [0.665, 0.665, 0.665], [0.922, 0.417, 0.417]], "magnetic_moment_mub_per_cell": 10.8, "energy_ev_per_cell": -80.07, "dos_ef_per_ev_cell": 15.9, "spacegroup": "No. 166"}